This record from Alexandria via LeMat-Bulk describes a geometry-optimized BaLa2FeN structure. The functional is PBE.

Geometry as CIF:
```
data_BaLa2FeN
_cell_length_a 4.9410
_cell_length_b 5.5762
_cell_length_c 4.9410
_cell_angle_alpha 90.00
_cell_angle_beta 90.00
_cell_angle_gamma 90.00
_space_group_name_H-M_alt 'P 1'
_space_group_IT_number 1
_space_group_name_Hall 'P 1'
loop_
_atom_site_label
_atom_site_fract_x
_atom_site_fract_y
_atom_site_fract_z
_atom_site_occupancy
Fe1 0.5000 0.5000 0.5000 1
N1 0.0000 0.0000 0.0000 1
La1 0.0000 0.0000 0.5000 1
La2 0.5000 0.0000 0.0000 1
Ba1 0.0000 0.5000 0.0000 1
```

Properties
Total magnetic moment   0.005 μB per formula unit
V   27.2 A^3/atom
Uncorrected formation energy   0.08 eV/atom


This record from Alexandria via LeMat-Bulk describes a geometry-optimized BaNaLa2Fe structure. The functional is PBE.

Geometry as CIF:
```
data_BaNaLa2Fe
_cell_length_a 5.2982
_cell_length_b 5.2982
_cell_length_c 6.4405
_cell_angle_alpha 90.00
_cell_angle_beta 90.00
_cell_angle_gamma 90.00
_space_group_name_H-M_alt 'P 1'
_space_group_IT_number 1
_space_group_name_Hall 'P 1'
loop_
_atom_site_label
_atom_site_fract_x
_atom_site_fract_y
_atom_site_fract_z
_atom_site_occupancy
La1 0.5000 0.0000 0.0000 1
La2 0.0000 0.5000 0.0000 1
Fe1 0.0000 0.0000 0.0000 1
Na1 0.5000 0.5000 0.5000 1
Ba1 0.0000 0.0000 0.5000 1
```

Properties
Total magnetic moment   0.000 μB per formula unit
V   36.2 A^3/atom
ΔE_f   191 meV/atom


total magnetic moment of number 1 (BaLa2FeN)? 0.005 μB per formula unit


V of number 1 (BaLa2FeN)? 27.2 A^3/atom